1.
The following is a PBE calculation of a relaxed UBiAu crystal, from Alexandria via LeMat-Bulk.

Values from the calculation:
- Raw total energy: -6.14 eV per atom
- Symmetry: No. 107

Structure (POSCAR):
```
UBiAu
1.0
-1.851 1.851 5.595
1.851 -1.851 5.595
1.851 1.851 -5.595
U Bi Au
1 1 1
direct
0.000 0.000 0.000
0.308 0.308 0.000
0.640 0.640 0.000
```

=====

2.
The following is a PBE calculation of a relaxed UBiAu crystal, from Alexandria via LeMat-Bulk.

Values from the calculation:
- Raw total energy: -6.09 eV per atom
- Symmetry: No. 156

Structure (POSCAR):
```
UBiAu
1.0
5.194 0.000 0.000
-2.597 4.498 0.000
0.000 0.000 3.149
U Bi Au
1 1 1
direct
0.000 0.000 0.000
0.333 0.667 0.514
0.667 0.333 0.444
```

=====

3.
The following is a PBE calculation of a relaxed V2BiAu crystal, from Alexandria via LeMat-Bulk.

Values from the calculation:
- Raw total energy: -5.67 eV per atom
- Symmetry: No. 122

Structure (POSCAR):
```
V2BiAu
1.0
-1.995 1.995 9.858
1.995 -1.995 9.858
1.995 1.995 -9.858
V Bi Au
4 2 2
direct
0.106 0.625 0.981
0.375 0.356 0.481
0.644 0.125 0.019
0.875 0.894 0.519
0.250 0.750 0.500
0.500 0.500 0.000
0.000 0.000 0.000
0.750 0.250 0.500
```

=====

4.
The following is a PBE calculation of a relaxed VBi3Au crystal, from Alexandria via LeMat-Bulk.

Values from the calculation:
- Raw total energy: -4.38 eV per atom
- Symmetry: No. 221

Structure (POSCAR):
```
VBi3Au
1.0
5.228 0.000 0.000
0.000 5.228 0.000
0.000 0.000 5.228
V Bi Au
1 3 1
direct
0.000 0.000 0.000
0.000 0.000 0.500
0.000 0.500 0.000
0.500 0.000 0.000
0.500 0.500 0.500
```

=====

5.
The following is a PBE calculation of a relaxed VBiAu crystal, from Alexandria via LeMat-Bulk.

Values from the calculation:
- Raw total energy: -5.08 eV per atom
- Symmetry: No. 38

Structure (POSCAR):
```
VBiAu
1.0
14.006 0.000 0.000
0.000 2.121 2.168
0.000 -2.121 2.168
V Bi Au
2 2 2
direct
0.128 0.000 0.000
0.872 0.000 0.000
0.282 0.502 0.502
0.718 0.502 0.502
0.000 0.500 0.500
0.500 0.969 0.969
```

=====

6.
The following is a PBE calculation of a relaxed Bi2WAu crystal, from Alexandria via LeMat-Bulk.

Values from the calculation:
- Raw total energy: -5.10 eV per atom
- Symmetry: No. 225

Structure (POSCAR):
```
Bi2WAu
1.0
0.000 3.584 3.584
3.584 0.000 3.584
3.584 3.584 0.000
Bi W Au
2 1 1
direct
0.250 0.250 0.250
0.750 0.750 0.750
0.000 0.000 0.000
0.500 0.500 0.500
```

=====

7.
The following is a PBE calculation of a relaxed Bi3WAu crystal, from Alexandria via LeMat-Bulk.

Values from the calculation:
- Raw total energy: -4.77 eV per atom
- Symmetry: No. 221

Structure (POSCAR):
```
Bi3WAu
1.0
5.370 0.000 0.000
0.000 5.370 0.000
0.000 0.000 5.370
Bi W Au
3 1 1
direct
0.000 0.000 0.500
0.000 0.500 0.000
0.500 0.000 0.000
0.000 0.000 0.000
0.500 0.500 0.500
```

=====

8.
The following is a PBE calculation of a relaxed Bi3WAu crystal, from Alexandria via LeMat-Bulk.

Values from the calculation:
- Raw total energy: -4.08 eV per atom
- Symmetry: No. 221

Structure (POSCAR):
```
Bi3WAu
1.0
5.469 0.000 0.000
0.000 5.469 0.000
0.000 0.000 5.469
Bi W Au
3 1 1
direct
0.000 0.000 0.500
0.000 0.500 0.000
0.500 0.000 0.000
0.500 0.500 0.500
0.000 0.000 0.000
```

=====

9.
The following is a PBE calculation of a relaxed Bi2WAu crystal, from Alexandria via LeMat-Bulk.

Values from the calculation:
- Raw total energy: -4.95 eV per atom
- Symmetry: No. 122

Structure (POSCAR):
```
Bi2WAu
1.0
-3.251 3.251 6.264
3.251 -3.251 6.264
3.251 3.251 -6.264
Bi W Au
4 2 2
direct
0.109 0.625 0.984
0.375 0.359 0.484
0.641 0.125 0.016
0.875 0.891 0.516
0.000 0.000 0.000
0.750 0.250 0.500
0.250 0.750 0.500
0.500 0.500 0.000
```

=====

10.
The following is a PBE calculation of a relaxed BiWAu2 crystal, from Alexandria via LeMat-Bulk.

Values from the calculation:
- Raw total energy: -5.14 eV per atom
- Symmetry: No. 122

Structure (POSCAR):
```
BiWAu2
1.0
-3.915 3.915 2.799
3.915 -3.915 2.799
3.915 3.915 -2.799
Bi W Au
2 2 4
direct
0.000 0.000 0.000
0.750 0.250 0.500
0.250 0.750 0.500
0.500 0.500 0.000
0.152 0.625 0.027
0.375 0.402 0.527
0.598 0.125 0.973
0.875 0.848 0.473
```

=====

11.
The following is a PBE calculation of a relaxed Zr2BiWAu crystal, from Alexandria via LeMat-Bulk.

Values from the calculation:
- Raw total energy: -6.63 eV per atom
- Symmetry: No. 123

Structure (POSCAR):
```
Zr2BiWAu
1.0
5.139 0.000 0.000
0.000 5.139 0.000
0.000 0.000 5.218
Zr Bi W Au
2 1 1 1
direct
0.000 0.500 0.000
0.500 0.000 0.000
0.000 0.000 0.500
0.000 0.000 0.000
0.500 0.500 0.500
```

=====

12.
The following is a PBE calculation of a relaxed Y2BiAu crystal, from Alexandria via LeMat-Bulk.

Values from the calculation:
- Raw total energy: -5.73 eV per atom
- Symmetry: No. 123

Structure (POSCAR):
```
Y2BiAu
1.0
3.849 0.000 0.000
0.000 3.849 0.000
0.000 0.000 7.112
Y Bi Au
2 1 1
direct
0.000 0.000 0.238
0.000 0.000 0.762
0.500 0.500 0.500
0.500 0.500 0.000
```